No. 1
# ZnHg2Mo

Crystalline ZnHg2Mo at its relaxed geometry (GGA-PBEsol, the Alexandria database).

Structure (CIF):
```
data_ZnHg2Mo
_symmetry_space_group_name_H-M 'P m m m'
_symmetry_Int_Tables_number 47
_cell_length_a 2.897
_cell_length_b 4.048
_cell_length_c 5.929
_cell_angle_alpha 90.00
_cell_angle_beta 90.00
_cell_angle_gamma 90.00
loop_
_symmetry_equiv_pos_as_xyz
'x,y,z'
'-x,-y,-z'
'-x,-y,z'
'x,y,-z'
'x,-y,-z'
'-x,y,z'
'-x,y,-z'
'x,-y,z'
loop_
_atom_site_label
_atom_site_type_symbol
_atom_site_fract_x
_atom_site_fract_y
_atom_site_fract_z
Zn1 Zn 0.000 0.000 0.000
Hg1 Hg 0.500 0.500 0.248
Mo1 Mo 0.000 0.000 0.500
```

---

No. 2
# Pm2ZnSn

Crystalline Pm2ZnSn at its relaxed geometry (GGA-PBEsol, the Alexandria database).

Structure (CIF):
```
data_Pm2ZnSn
_symmetry_space_group_name_H-M 'F m -3 m'
_symmetry_Int_Tables_number 225
_symmetry_space_group_name_Hall '-F 4 2 3'
_cell_length_a 7.394
_cell_length_b 7.394
_cell_length_c 7.394
_cell_angle_alpha 90.00
_cell_angle_beta 90.00
_cell_angle_gamma 90.00
loop_
_atom_site_label
_atom_site_type_symbol
_atom_site_fract_x
_atom_site_fract_y
_atom_site_fract_z
Pm1 Pm 0.250 0.250 0.250
Zn1 Zn 0.000 0.000 0.000
Sn1 Sn 0.000 0.000 0.500
```

---

No. 3
# CuAgPt2

Crystalline CuAgPt2 at its relaxed geometry (GGA-PBEsol, the Alexandria database).

Structure (CIF):
```
data_CuAgPt2
_symmetry_space_group_name_H-M 'C m m m'
_symmetry_Int_Tables_number 65
_symmetry_space_group_name_Hall '-C 2 2'
_cell_length_a 2.752
_cell_length_b 4.642
_cell_length_c 9.187
_cell_angle_alpha 90.00
_cell_angle_beta 90.00
_cell_angle_gamma 90.00
loop_
_atom_site_label
_atom_site_type_symbol
_atom_site_fract_x
_atom_site_fract_y
_atom_site_fract_z
Cu1 Cu 0.000 0.000 0.000
Ag1 Ag 0.000 0.000 0.500
Pt1 Pt 0.000 0.500 0.235
```

---

No. 4
# Tc4SbPt

Crystalline Tc4SbPt at its relaxed geometry (GGA-PBEsol, the Alexandria database).

Structure (CIF):
```
data_Tc4SbPt
_symmetry_space_group_name_H-M 'F -4 3 m'
_symmetry_Int_Tables_number 216
_symmetry_space_group_name_Hall 'F -4 2 3'
_cell_length_a 7.225
_cell_length_b 7.225
_cell_length_c 7.225
_cell_angle_alpha 90.00
_cell_angle_beta 90.00
_cell_angle_gamma 90.00
loop_
_atom_site_label
_atom_site_type_symbol
_atom_site_fract_x
_atom_site_fract_y
_atom_site_fract_z
Tc1 Tc 0.123 0.123 0.123
Sb1 Sb 0.000 0.000 0.500
Pt1 Pt 0.250 0.250 0.750
```

## Properties
* energy relative to the elements, uncorrected: 0.4732 eV per atom

---

No. 5
# YTlAu2

Crystalline YTlAu2 at its relaxed geometry (GGA-PBEsol, the Alexandria database).

Structure (CIF):
```
data_YTlAu2
_symmetry_space_group_name_H-M 'P 4/m m m'
_symmetry_Int_Tables_number 123
_symmetry_space_group_name_Hall '-P 4 2'
_cell_length_a 4.618
_cell_length_b 4.618
_cell_length_c 4.004
_cell_angle_alpha 90.00
_cell_angle_beta 90.00
_cell_angle_gamma 90.00
loop_
_atom_site_label
_atom_site_type_symbol
_atom_site_fract_x
_atom_site_fract_y
_atom_site_fract_z
Y1 Y 0.000 0.000 0.000
Tl1 Tl 0.500 0.500 0.000
Au1 Au 0.000 0.500 0.500
```

---

No. 6
# GdSi

Crystalline GdSi at its relaxed geometry (GGA-PBEsol, the Alexandria database).

Structure (CIF):
```
data_GdSi
_symmetry_space_group_name_H-M 'P n m a'
_symmetry_Int_Tables_number 62
_cell_length_a 7.890
_cell_length_b 3.829
_cell_length_c 5.688
_cell_angle_alpha 90.00
_cell_angle_beta 90.00
_cell_angle_gamma 90.00
loop_
_symmetry_equiv_pos_as_xyz
'x,y,z'
'-x,-y,-z'
'-x+1/2,-y,z+1/2'
'x+1/2,y,-z+1/2'
'x+1/2,-y+1/2,-z+1/2'
'-x+1/2,y+1/2,z+1/2'
'-x,y+1/2,-z'
'x,-y+1/2,z'
loop_
_atom_site_label
_atom_site_type_symbol
_atom_site_fract_x
_atom_site_fract_y
_atom_site_fract_z
Gd1 Gd 0.179 0.250 0.115
Si1 Si 0.036 0.250 0.627
```

## Properties
* energy relative to the elements, uncorrected: -0.8730 eV per atom

---

No. 7
# SrTl2In

Crystalline SrTl2In at its relaxed geometry (GGA-PBEsol, the Alexandria database).

Structure (CIF):
```
data_SrTl2In
_symmetry_space_group_name_H-M 'P 4 m m'
_symmetry_Int_Tables_number 99
_cell_length_a 3.956
_cell_length_b 3.956
_cell_length_c 7.459
_cell_angle_alpha 90.00
_cell_angle_beta 90.00
_cell_angle_gamma 90.00
loop_
_symmetry_equiv_pos_as_xyz
'x,y,z'
'-y,x,z'
'-x,-y,z'
'y,-x,z'
'-x,y,z'
'y,x,z'
'x,-y,z'
'-y,-x,z'
loop_
_atom_site_label
_atom_site_type_symbol
_atom_site_fract_x
_atom_site_fract_y
_atom_site_fract_z
Sr1 Sr 0.000 0.000 0.000
Tl1 Tl 0.000 0.000 0.506
Tl2 Tl 0.500 0.500 0.280
In1 In 0.500 0.500 0.716
```

---

No. 8
# Mg5P

Crystalline Mg5P at its relaxed geometry (GGA-PBEsol, the Alexandria database).

Structure (CIF):
```
data_Mg5P
_symmetry_space_group_name_H-M 'P 6/m m m'
_symmetry_Int_Tables_number 191
_symmetry_space_group_name_Hall '-P 6 2'
_cell_length_a 5.5657
_cell_length_b 5.5657
_cell_length_c 5.1880
_cell_angle_alpha 90.00
_cell_angle_beta 90.00
_cell_angle_gamma 120.00
loop_
_atom_site_label
_atom_site_type_symbol
_atom_site_fract_x
_atom_site_fract_y
_atom_site_fract_z
Mg1 Mg 0.0000 0.5000 0.0000
Mg2 Mg 0.3333 0.6667 0.5000
P1 P 0.0000 0.0000 0.5000
```

---

No. 9
# RbInSn2Mo

Crystalline RbInSn2Mo at its relaxed geometry (GGA-PBEsol, the Alexandria database).

Structure (CIF):
```
data_RbInSn2Mo
_symmetry_space_group_name_H-M 'P 4/m m m'
_symmetry_Int_Tables_number 123
_symmetry_space_group_name_Hall '-P 4 2'
_cell_length_a 5.238
_cell_length_b 5.238
_cell_length_c 5.349
_cell_angle_alpha 90.00
_cell_angle_beta 90.00
_cell_angle_gamma 90.00
loop_
_atom_site_label
_atom_site_type_symbol
_atom_site_fract_x
_atom_site_fract_y
_atom_site_fract_z
Rb1 Rb 0.000 0.000 0.000
In1 In 0.500 0.500 0.000
Sn1 Sn 0.000 0.500 0.500
Mo1 Mo 0.500 0.500 0.500
```

---

No. 10
# Mg3NF

Crystalline Mg3NF at its relaxed geometry (GGA-PBEsol, the Alexandria database).

Structure (CIF):
```
data_Mg3NF
_symmetry_space_group_name_H-M 'P m -3 m'
_symmetry_Int_Tables_number 221
_symmetry_space_group_name_Hall '-P 4 2 3'
_cell_length_a 4.222
_cell_length_b 4.222
_cell_length_c 4.222
_cell_angle_alpha 90.00
_cell_angle_beta 90.00
_cell_angle_gamma 90.00
loop_
_atom_site_label
_atom_site_type_symbol
_atom_site_fract_x
_atom_site_fract_y
_atom_site_fract_z
Mg1 Mg 0.000 0.000 0.500
N1 N 0.000 0.000 0.000
F1 F 0.500 0.500 0.500
```

## Properties
* energy relative to the elements, uncorrected: -0.8302 eV per atom

---

No. 11
# Li2CaTaTc

Crystalline Li2CaTaTc at its relaxed geometry (GGA-PBEsol, the Alexandria database).

Structure (CIF):
```
data_Li2CaTaTc
_symmetry_space_group_name_H-M 'P 4/m m m'
_symmetry_Int_Tables_number 123
_symmetry_space_group_name_Hall '-P 4 2'
_cell_length_a 3.979
_cell_length_b 3.979
_cell_length_c 5.115
_cell_angle_alpha 90.00
_cell_angle_beta 90.00
_cell_angle_gamma 90.00
loop_
_atom_site_label
_atom_site_type_symbol
_atom_site_fract_x
_atom_site_fract_y
_atom_site_fract_z
Li1 Li 0.000 0.500 0.000
Ca1 Ca 0.000 0.000 0.000
Ta1 Ta 0.000 0.000 0.500
Tc1 Tc 0.500 0.500 0.500
```

---

No. 12
# PrTeAs

Crystalline PrTeAs at its relaxed geometry (GGA-PBEsol, the Alexandria database).

Structure (CIF):
```
data_PrTeAs
_symmetry_space_group_name_H-M 'P n m a'
_symmetry_Int_Tables_number 62
_cell_length_a 7.665
_cell_length_b 4.109
_cell_length_c 10.161
_cell_angle_alpha 90.00
_cell_angle_beta 90.00
_cell_angle_gamma 90.00
loop_
_symmetry_equiv_pos_as_xyz
'x,y,z'
'-x,-y,-z'
'-x+1/2,-y,z+1/2'
'x+1/2,y,-z+1/2'
'x+1/2,-y+1/2,-z+1/2'
'-x+1/2,y+1/2,z+1/2'
'-x,y+1/2,-z'
'x,-y+1/2,z'
loop_
_atom_site_label
_atom_site_type_symbol
_atom_site_fract_x
_atom_site_fract_y
_atom_site_fract_z
Pr1 Pr 0.226 0.250 0.158
Te1 Te 0.093 0.250 0.853
As1 As 0.094 0.250 0.462
```

## Properties
* energy relative to the elements, uncorrected: -1.2515 eV per atom

---

Asked for total DFT energy (no corrections) across the records above, the calculation gives -3.16, -4.57, -5.43, -8.96, -4.80, -10.97, -2.77, -2.03, -4.81, -3.95, -4.33, -5.86 eV per atom in order.
Asked for magnetization across the records above, the calculation gives 0.00, 0.00, 0.00, 0.00, 0.00, 3.63, 0.00, 0.00, 0.00, 0.00, 0.00, 0.00 μB/atom in order.